w) ## Sm2LuRh (PBE-GGA)

Data for an optimized crystal structure of Sm2LuRh.

a b c (Å): 3.6322 3.6322 31.6429
angles (deg): 90.00 90.00 120.00
Space group R-3m (No. 166, hexagonal axes)
Inequivalent atoms, fractional coordinates:
Sm: 0.0000 0.0000 0.1083 (multiplicity 6)
Lu: 0.0000 0.0000 0.0000 (multiplicity 3)
Rh: 0.0000 0.0000 0.5000 (multiplicity 3)


x) ## Sm2LuRh (PBE-GGA)

Data for an optimized crystal structure of Sm2LuRh.

a b c (Å): 3.569 3.569 8.568
angles (deg): 90.00 90.00 90.00
Space group P4/mmm (No. 123)
Inequivalent atoms, fractional coordinates:
Sm: 0.000 0.000 0.193 (multiplicity 2)
Lu: 0.500 0.500 0.500 (multiplicity 1)
Rh: 0.500 0.500 0.000 (multiplicity 1)


Short version: x) is the most stable of them.


w) ## LuTaRh2 (PBE-GGA)

Data for an optimized crystal structure of LuTaRh2.

a b c (Å): 6.533 6.533 6.533
angles (deg): 90.00 90.00 90.00
Space group Fm-3m (No. 225)
Inequivalent atoms, fractional coordinates:
Lu: 0.000 0.000 0.000 (multiplicity 4)
Ta: 0.000 0.000 0.500 (multiplicity 4)
Rh: 0.250 0.250 0.250 (multiplicity 8)


x) ## LuTaRh2 (PBE-GGA)

Data for an optimized crystal structure of LuTaRh2.

a b c (Å): 3.157 3.157 7.098
angles (deg): 90.00 90.00 90.00
Space group P4/mmm (No. 123)
Inequivalent atoms, fractional coordinates:
Lu: 0.000 0.000 0.000 (multiplicity 1)
Ta: 0.000 0.000 0.500 (multiplicity 1)
Rh: 0.500 0.500 0.279 (multiplicity 2)


Short version: x) is the most stable of them.


w) ## TbLuRh (PBE-GGA)

Data for an optimized crystal structure of TbLuRh.

a b c (Å): 4.5530 4.5530 3.9885
angles (deg): 90.00 90.00 120.00
Space group P3m1 (No. 156)
Inequivalent atoms, fractional coordinates:
Tb: 0.0000 0.0000 0.0000 (multiplicity 1)
Lu: 0.6667 0.3333 0.4746 (multiplicity 1)
Rh: 0.3333 0.6667 0.7072 (multiplicity 1)


x) ## TbLuRh (PBE-GGA)

Data for an optimized crystal structure of TbLuRh.

a b c (Å): 6.746 6.746 6.746
angles (deg): 90.00 90.00 90.00
Space group F-43m (No. 216)
Inequivalent atoms, fractional coordinates:
Tb: 0.000 0.000 0.000 (multiplicity 4)
Lu: 0.000 0.000 0.500 (multiplicity 4)
Rh: 0.250 0.250 0.750 (multiplicity 4)


y) ## TbLuRh (PBE-GGA)

Data for an optimized crystal structure of TbLuRh.

a b c (Å): 3.419 3.419 12.463
angles (deg): 90.00 90.00 90.00
Space group I4mm (No. 107)
Inequivalent atoms, fractional coordinates:
Tb: 0.000 0.000 0.000 (multiplicity 2)
Lu: 0.000 0.000 0.264 (multiplicity 2)
Rh: 0.000 0.000 0.638 (multiplicity 2)


Short version: x) is the most stable of them.


w) ## LuThRh (PBE-GGA)

Data for an optimized crystal structure of LuThRh.

a b c (Å): 3.534 3.534 11.786
angles (deg): 90.00 90.00 90.00
Space group I4mm (No. 107)
Inequivalent atoms, fractional coordinates:
Lu: 0.000 0.000 0.000 (multiplicity 2)
Th: 0.000 0.000 0.719 (multiplicity 2)
Rh: 0.000 0.000 0.357 (multiplicity 2)


x) ## LuThRh (PBE-GGA)

Data for an optimized crystal structure of LuThRh.

a b c (Å): 6.876 6.876 6.876
angles (deg): 90.00 90.00 90.00
Space group F-43m (No. 216)
Inequivalent atoms, fractional coordinates:
Lu: 0.000 0.000 0.000 (multiplicity 4)
Th: 0.000 0.000 0.500 (multiplicity 4)
Rh: 0.250 0.250 0.750 (multiplicity 4)


Short version: w) is the most stable of them.


w) ## TmLuRh2 (PBE-GGA)

Data for an optimized crystal structure of TmLuRh2.

a b c (Å): 4.702 4.702 3.444
angles (deg): 90.00 90.00 90.00
Space group P4/mmm (No. 123)
Inequivalent atoms, fractional coordinates:
Tm: 0.000 0.000 0.000 (multiplicity 1)
Lu: 0.500 0.500 0.000 (multiplicity 1)
Rh: 0.000 0.500 0.500 (multiplicity 2)


x) ## TmLuRh2 (PBE-GGA)

Data for an optimized crystal structure of TmLuRh2.

a b c (Å): 3.4589 3.4589 23.5768
angles (deg): 90.00 90.00 120.00
Space group R-3m (No. 166, hexagonal axes)
Inequivalent atoms, fractional coordinates:
Tm: 0.0000 0.0000 0.0000 (multiplicity 3)
Lu: 0.0000 0.0000 0.5000 (multiplicity 3)
Rh: 0.0000 0.0000 0.2496 (multiplicity 6)


Short version: w) is the most stable of them.


w) ## LuURh2 (PBE-GGA)

Data for an optimized crystal structure of LuURh2.

a b c (Å): 3.7965 3.7965 20.4316
angles (deg): 90.00 90.00 120.00
Space group R-3m (No. 166, hexagonal axes)
Inequivalent atoms, fractional coordinates:
Lu: 0.0000 0.0000 0.0000 (multiplicity 3)
U: 0.0000 0.0000 0.5000 (multiplicity 3)
Rh: 0.0000 0.0000 0.2435 (multiplicity 6)


x) ## LuURh2 (PBE-GGA)

Data for an optimized crystal structure of LuURh2.

a b c (Å): 3.344 3.344 6.951
angles (deg): 90.00 90.00 90.00
Space group P4/mmm (No. 123)
Inequivalent atoms, fractional coordinates:
Lu: 0.000 0.000 0.000 (multiplicity 1)
U: 0.000 0.000 0.500 (multiplicity 1)
Rh: 0.500 0.500 0.253 (multiplicity 2)


Short version: x) is the most stable of them.


w) ## Lu2RuS (PBE-GGA)

Data for an optimized crystal structure of Lu2RuS.

a b c (Å): 3.329 3.329 6.915
angles (deg): 90.00 90.00 90.00
Space group P4/mmm (No. 123)
Inequivalent atoms, fractional coordinates:
Lu: 0.000 0.000 0.240 (multiplicity 2)
Ru: 0.500 0.500 0.000 (multiplicity 1)
S: 0.500 0.500 0.500 (multiplicity 1)


x) ## Lu2RuS (PBE-GGA)

Data for an optimized crystal structure of Lu2RuS.

a b c (Å): 3.5663 3.5663 22.1617
angles (deg): 90.00 90.00 120.00
Space group R-3m (No. 166, hexagonal axes)
Inequivalent atoms, fractional coordinates:
Lu: 0.0000 0.0000 0.2488 (multiplicity 6)
Ru: 0.0000 0.0000 0.0000 (multiplicity 3)
S: 0.0000 0.0000 0.5000 (multiplicity 3)


Short version: w) is the most stable of them.


w) ## SmLuRu (PBE-GGA)

Data for an optimized crystal structure of SmLuRu.

a b c (Å): 6.761 6.761 6.761
angles (deg): 90.00 90.00 90.00
Space group F-43m (No. 216)
Inequivalent atoms, fractional coordinates:
Sm: 0.000 0.000 0.000 (multiplicity 4)
Lu: 0.000 0.000 0.500 (multiplicity 4)
Ru: 0.250 0.250 0.750 (multiplicity 4)


x) ## SmLuRu (PBE-GGA)

Data for an optimized crystal structure of SmLuRu.

a b c (Å): 3.398 3.398 12.966
angles (deg): 90.00 90.00 90.00
Space group I4mm (No. 107)
Inequivalent atoms, fractional coordinates:
Sm: 0.000 0.000 0.000 (multiplicity 2)
Lu: 0.000 0.000 0.255 (multiplicity 2)
Ru: 0.000 0.000 0.635 (multiplicity 2)


Short version: x) is the most stable of them.


w) ## TbLuRu (PBE-GGA)

Data for an optimized crystal structure of TbLuRu.

a b c (Å): 3.376 3.376 12.791
angles (deg): 90.00 90.00 90.00
Space group I4mm (No. 107)
Inequivalent atoms, fractional coordinates:
Tb: 0.000 0.000 0.000 (multiplicity 2)
Lu: 0.000 0.000 0.255 (multiplicity 2)
Ru: 0.000 0.000 0.632 (multiplicity 2)


x) ## TbLuRu (PBE-GGA)

Data for an optimized crystal structure of TbLuRu.

a b c (Å): 6.705 6.705 6.705
angles (deg): 90.00 90.00 90.00
Space group F-43m (No. 216)
Inequivalent atoms, fractional coordinates:
Tb: 0.000 0.000 0.000 (multiplicity 4)
Lu: 0.000 0.000 0.500 (multiplicity 4)
Ru: 0.250 0.250 0.750 (multiplicity 4)


Short version: w) is the most stable of them.


w) ## Lu2TlRu (PBE-GGA)

Data for an optimized crystal structure of Lu2TlRu.

a b c (Å): 4.937 4.937 3.590
angles (deg): 90.00 90.00 90.00
Space group P4/mmm (No. 123)
Inequivalent atoms, fractional coordinates:
Lu: 0.000 0.500 0.000 (multiplicity 2)
Tl: 0.000 0.000 0.500 (multiplicity 1)
Ru: 0.500 0.500 0.500 (multiplicity 1)


x) ## Lu2TlRu (PBE-GGA)

Data for an optimized crystal structure of Lu2TlRu.

a b c (Å): 3.332 3.332 8.165
angles (deg): 90.00 90.00 90.00
Space group P4/mmm (No. 123)
Inequivalent atoms, fractional coordinates:
Lu: 0.000 0.000 0.200 (multiplicity 2)
Tl: 0.500 0.500 0.500 (multiplicity 1)
Ru: 0.500 0.500 0.000 (multiplicity 1)


Short version: x) is the most stable of them.


w) ## Lu2TlRu (PBE-GGA)

Data for an optimized crystal structure of Lu2TlRu.

a b c (Å): 3.4913 3.4913 27.0384
angles (deg): 90.00 90.00 120.00
Space group R-3m (No. 166, hexagonal axes)
Inequivalent atoms, fractional coordinates:
Lu: 0.0000 0.0000 0.2360 (multiplicity 6)
Tl: 0.0000 0.0000 0.0000 (multiplicity 3)
Ru: 0.0000 0.0000 0.5000 (multiplicity 3)


x) ## Lu2TlRu (PBE-GGA)

Data for an optimized crystal structure of Lu2TlRu.

a b c (Å): 7.042 7.042 7.042
angles (deg): 90.00 90.00 90.00
Space group Fm-3m (No. 225)
Inequivalent atoms, fractional coordinates:
Lu: 0.250 0.250 0.250 (multiplicity 8)
Tl: 0.000 0.000 0.000 (multiplicity 4)
Ru: 0.000 0.000 0.500 (multiplicity 4)


Short version: x) is the most stable of them.


w) ## LuZrRu (PBE-GGA)

Data for an optimized crystal structure of LuZrRu.

a b c (Å): 3.328 3.328 11.314
angles (deg): 90.00 90.00 90.00
Space group I4mm (No. 107)
Inequivalent atoms, fractional coordinates:
Lu: 0.000 0.000 0.000 (multiplicity 2)
Zr: 0.000 0.000 0.287 (multiplicity 2)
Ru: 0.000 0.000 0.654 (multiplicity 2)


x) ## LuZrRu (PBE-GGA)

Data for an optimized crystal structure of LuZrRu.

a b c (Å): 6.511 6.511 6.511
angles (deg): 90.00 90.00 90.00
Space group F-43m (No. 216)
Inequivalent atoms, fractional coordinates:
Lu: 0.000 0.000 0.000 (multiplicity 4)
Zr: 0.000 0.000 0.500 (multiplicity 4)
Ru: 0.250 0.250 0.750 (multiplicity 4)


Short version: w) is the most stable of them.